A relaxed structure of LiPtO2. Source: Alexandria, functional PBE.

Computed properties:
Its formation energy from raw total energies is -0.9916 eV/atom. The calculation puts the density of states at the Fermi level at 0.734 states/eV/atom. The calculation puts the magnetization at 0.0 μB/f.u. The calculation puts the total energy at -5.4594 eV per atom.

Cell lengths 3.001, 6.180, 5.710 Å; angles 100.86, 105.24, 90.00 degrees
Sites, in units of the cell vectors:
Li 0.022 0.125 0.895
Li 0.580 0.618 0.012
Pt 0.300 0.871 0.454
Pt 0.300 0.371 0.454
O 0.423 0.165 0.698
O 0.178 0.577 0.209
O 0.415 0.662 0.683
O 0.185 0.081 0.224